(1)
Compound: NbBN2O
Source: the Alexandria database
Functional: PBE-GGA
Structure: optimized geometry

Magnetization   0.00 μB per formula unit
DOS at the Fermi energy   0.91 states/eV/f.u.
SG   P4/mmm (123)
Raw formation energy   -89 meV per atom

a = 3.4674 Å, b = 3.4674 Å, c = 3.2497 Å
α = 90.00°, β = 90.00°, γ = 90.00°
Fractional positions:
1 Nb 0.0000 0.0000 0.0000
2 B 0.5000 0.5000 0.5000
3 N 0.0000 0.5000 0.5000
4 N 0.5000 0.0000 0.5000
5 O 0.5000 0.5000 0.0000

=====

(2)
Compound: NbBRuN2
Source: the Alexandria database
Functional: PBE-GGA
Structure: optimized geometry

Magnetization   0.00 μB per formula unit
DOS at the Fermi energy   5.72 states/eV/f.u.
SG   P4/mmm (123)
Raw formation energy   1131 meV per atom

a = 3.7658 Å, b = 3.7658 Å, c = 4.2110 Å
α = 90.00°, β = 90.00°, γ = 90.00°
Fractional positions:
1 Nb 0.0000 0.0000 0.0000
2 B 0.5000 0.5000 0.0000
3 Ru 0.5000 0.5000 0.5000
4 N 0.0000 0.5000 0.5000
5 N 0.5000 0.0000 0.5000

=====

(3)
Compound: NbBS2N
Source: the Alexandria database
Functional: PBE-GGA
Structure: optimized geometry

Magnetization   0.00 μB per formula unit
DOS at the Fermi energy   5.15 states/eV/f.u.
Energy relative to the lowest polymorph listed for this composition   0.610 eV/atom
SG   P4/mmm (123)
Raw formation energy   883 meV per atom

a = 4.9102 Å, b = 4.9102 Å, c = 3.9267 Å
α = 90.00°, β = 90.00°, γ = 90.00°
Fractional positions:
1 Nb 0.0000 0.0000 0.0000
2 B 0.5000 0.5000 0.5000
3 S 0.0000 0.5000 0.0000
4 S 0.5000 0.0000 0.0000
5 N 0.0000 0.0000 0.5000

=====

(4)
Compound: NbBS2N
Source: the Alexandria database
Functional: PBE-GGA
Structure: optimized geometry

Magnetization   0.00 μB per formula unit
DOS at the Fermi energy   2.25 states/eV/f.u.
Energy relative to the lowest polymorph listed for this composition   0.000 eV/atom
SG   P4/mmm (123)
Raw formation energy   273 meV per atom

a = 4.9781 Å, b = 4.9781 Å, c = 2.7125 Å
α = 90.00°, β = 90.00°, γ = 90.00°
Fractional positions:
1 Nb 0.0000 0.0000 0.0000
2 B 0.5000 0.5000 0.5000
3 S 0.0000 0.5000 0.5000
4 S 0.5000 0.0000 0.5000
5 N 0.5000 0.5000 0.0000

=====

(5)
Compound: NbSi2BN
Source: the Alexandria database
Functional: PBE-GGA
Structure: optimized geometry

Magnetization   0.00 μB per formula unit
DOS at the Fermi energy   2.54 states/eV/f.u.
SG   P4/mmm (123)
Raw formation energy   716 meV per atom

a = 3.6814 Å, b = 3.6814 Å, c = 4.5148 Å
α = 90.00°, β = 90.00°, γ = 90.00°
Fractional positions:
1 Nb 0.0000 0.0000 0.0000
2 Si 0.0000 0.5000 0.5000
3 Si 0.5000 0.0000 0.5000
4 B 0.5000 0.5000 0.0000
5 N 0.0000 0.0000 0.5000

=====

(6)
Compound: NbBTe2N
Source: the Alexandria database
Functional: PBE-GGA
Structure: optimized geometry

Magnetization   0.00 μB per formula unit
DOS at the Fermi energy   3.23 states/eV/f.u.
Energy relative to the lowest polymorph listed for this composition   0.555 eV/atom
SG   P4/mmm (123)
Raw formation energy   982 meV per atom

a = 5.5452 Å, b = 5.5452 Å, c = 3.8921 Å
α = 90.00°, β = 90.00°, γ = 90.00°
Fractional positions:
1 Nb 0.0000 0.0000 0.0000
2 B 0.5000 0.5000 0.5000
3 Te 0.0000 0.5000 0.0000
4 Te 0.5000 0.0000 0.0000
5 N 0.0000 0.0000 0.5000